# Sc4Al3Co

A geometry-optimized Sc4Al3Co structure (GGA-PBE, Alexandria via LeMat-Bulk).

Size of the total moment   0.0 Bohr magnetons per cell
Formation energy   -440.8 meV/atom
Density   3.63 g cm⁻³

Cell: 3.2498 3.2498 13.8362 Å, 90.00 90.00 90.00°
Closest atoms and distances in Å follow each position.
Fractional positions:
1 Sc 0.0000 0.0000 0.1066  4 Co 2.73, 4 Al 2.93, 1 Sc 2.95
2 Sc 0.0000 0.0000 0.8934  4 Co 2.73, 4 Al 2.93, 1 Sc 2.95
3 Sc 0.0000 0.0000 0.6317  8 Al 2.92-2.93, 4 Sc 3.25
4 Sc 0.0000 0.0000 0.3683  8 Al 2.92-2.93, 4 Sc 3.25
5 Al 0.5000 0.5000 0.7622  8 Sc 2.92-2.93, 4 Al 3.25
6 Al 0.5000 0.5000 0.5000  8 Sc 2.93, 4 Al 3.25
7 Al 0.5000 0.5000 0.2378  8 Sc 2.92-2.93, 4 Al 3.25
8 Co 0.5000 0.5000 0.0000  8 Sc 2.73



# Sc12AlCo5

A geometry-optimized Sc12AlCo5 structure (GGA-PBE, Alexandria via LeMat-Bulk).

Size of the total moment   0.0 Bohr magnetons per cell
Formation energy   -305.4 meV/atom
Density   4.15 g cm⁻³

Cell: 7.6564 7.6564 7.6564 Å, 105.93 111.16 111.38°
Closest atoms and distances in Å follow each position.
Fractional positions:
1 Sc 0.8079 0.0345 0.2266  2 Co 2.50-2.67
2 Sc 0.1921 0.4187 0.2266  2 Co 2.50-2.67
3 Sc 0.0953 0.8171 0.2782  4 Co 2.72-2.88
4 Sc 0.9047 0.1829 0.7218  4 Co 2.72-2.88
5 Sc 0.1921 0.9655 0.7734  2 Co 2.50-2.67
6 Sc 0.3035 0.3213 0.6248  3 Co 2.52-2.69
7 Sc 0.4611 0.1829 0.2782  4 Co 2.72-2.88
8 Sc 0.5389 0.8171 0.7218  4 Co 2.72-2.88
9 Sc 0.8079 0.5813 0.7734  2 Co 2.50-2.67
10 Sc 0.3035 0.6787 0.9822  3 Co 2.52-2.69
11 Sc 0.6965 0.6787 0.3752  3 Co 2.52-2.69
12 Sc 0.6965 0.3213 0.0178  3 Co 2.52-2.69
13 Co 0.3519 0.3519 0.0000  6 Sc 2.50-2.69, 1 Co 2.56
14 Co 0.5000 0.8796 0.3796  1 Co 2.22
15 Co 0.0000 0.0000 0.0000  8 Sc 2.67-2.88
16 Co 0.5000 0.1204 0.6204  1 Co 2.22
17 Co 0.6481 0.6481 0.0000  6 Sc 2.50-2.69, 1 Co 2.56
18 Al 0.0000 0.5000 0.5000  12 Sc 3.02-3.34



# Sc2AlCo2

A geometry-optimized Sc2AlCo2 structure (GGA-PBE, Alexandria via LeMat-Bulk).

Size of the total moment   2.4 Bohr magnetons per cell
Formation energy   -94.0 meV/atom
Density   4.44 g cm⁻³

Cell: 3.2420 3.2420 8.6692 Å, 79.22 79.22 90.00°
Closest atoms and distances in Å follow each position.
Fractional positions:
1 Co 0.7500 0.2500 0.5000  4 Co 2.29
2 Co 0.2500 0.7500 0.5000  4 Co 2.29
3 Al 0.0000 0.0000 0.0000  8 Sc 3.02, 4 Al 3.24
4 Sc 0.6175 0.6175 0.7650  4 Co 2.74, 4 Al 3.02
5 Sc 0.3825 0.3825 0.2350  4 Co 2.74, 4 Al 3.02



# ScAl4Co

A geometry-optimized ScAl4Co structure (GGA-PBE, Alexandria via LeMat-Bulk).

Size of the total moment   1.7 Bohr magnetons per cell
Formation energy   -27.7 meV/atom
Density   3.54 g cm⁻³

Cell: 5.1995 5.1995 5.1995 Å, 60.00 60.00 60.00°
Closest atoms and distances in Å follow each position.
Fractional positions:
1 Al 0.3747 0.3747 0.3747  6 Al 2.59-2.61
2 Al 0.3747 0.8758 0.3747  6 Al 2.59-2.61
3 Al 0.3747 0.3747 0.8758  6 Al 2.59-2.61
4 Al 0.8758 0.3747 0.3747  6 Al 2.59-2.61
5 Sc 0.0000 0.0000 0.0000  12 Al 3.05, 4 Co 3.18
6 Co 0.7500 0.7500 0.7500  12 Al 3.05, 4 Sc 3.18



# ScAl2Co3

A geometry-optimized ScAl2Co3 structure (GGA-PBE, Alexandria via LeMat-Bulk).

Size of the total moment   0.0 Bohr magnetons per cell
Formation energy   -528.2 meV/atom
Density   6.00 g cm⁻³

Cell: 4.1536 4.1536 10.2203 Å, 90.00 90.00 120.00°
Closest atoms and distances in Å follow each position.
Fractional positions:
1 Co 0.6667 0.3333 0.0768  7 Al 2.44-2.55, 1 Sc 2.59
2 Co 0.3333 0.6667 0.4151  4 Sc 2.55-2.60, 4 Al 2.55-2.58
3 Co 0.0000 0.0000 0.2390  5 Al 2.44-2.67, 3 Sc 2.57
4 Co 0.6667 0.3333 0.5849  4 Sc 2.55-2.60, 4 Al 2.55-2.58
5 Co 0.0000 0.0000 0.7610  5 Al 2.44-2.67, 3 Sc 2.57
6 Co 0.3333 0.6667 0.9232  7 Al 2.44-2.55, 1 Sc 2.59
7 Sc 0.6667 0.3333 0.3306  8 Co 2.55-2.60
8 Sc 0.3333 0.6667 0.6694  8 Co 2.55-2.60
9 Al 0.3333 0.6667 0.1624  8 Co 2.44-2.58
10 Al 0.6667 0.3333 0.8376  8 Co 2.44-2.58
11 Al 0.0000 0.0000 0.5000  8 Co 2.55-2.67
12 Al 0.0000 0.0000 0.0000  8 Co 2.44-2.52



# Sc12AlCo6

A geometry-optimized Sc12AlCo6 structure (GGA-PBE, Alexandria via LeMat-Bulk).

Size of the total moment   0.0 Bohr magnetons per cell
Formation energy   -290.3 meV/atom
Density   4.26 g cm⁻³

Cell: 7.7518 7.7518 7.7518 Å, 109.47 109.47 109.47°
Closest atoms and distances in Å follow each position.
Fractional positions:
1 Sc 0.0984 0.8038 0.2946  1 Co 2.46
2 Sc 0.2946 0.4908 0.1962  1 Co 2.46
3 Sc 0.4908 0.1962 0.2946  1 Co 2.46
4 Sc 0.8038 0.2946 0.0984  1 Co 2.46
5 Sc 0.1962 0.7054 0.9016  1 Co 2.46
6 Sc 0.1962 0.2946 0.4908  1 Co 2.46
7 Sc 0.7054 0.9016 0.1962  1 Co 2.46
8 Sc 0.2946 0.0984 0.8038  1 Co 2.46
9 Sc 0.5092 0.8038 0.7054  1 Co 2.46
10 Sc 0.9016 0.1962 0.7054  1 Co 2.46
11 Sc 0.7054 0.5092 0.8038  1 Co 2.46
12 Sc 0.8038 0.7054 0.5092  1 Co 2.46
13 Co 0.6206 0.5000 0.1206  1 Co 2.16
14 Co 0.1206 0.6206 0.5000  1 Co 2.16
15 Co 0.8794 0.3794 0.5000  1 Co 2.16
16 Co 0.5000 0.1206 0.6206  1 Co 2.16
17 Co 0.5000 0.8794 0.3794  1 Co 2.16
18 Co 0.3794 0.5000 0.8794  1 Co 2.16
19 Al 0.0000 0.0000 0.0000  12 Sc 3.17



# Sc3AlCo

A geometry-optimized Sc3AlCo structure (GGA-PBE, Alexandria via LeMat-Bulk).

E above lowest polymorph   254 meV per atom
Size of the total moment   0.0 Bohr magnetons per cell
Formation energy   -74.1 meV/atom
Density   3.36 g cm⁻³

Cell: 4.7786 4.7786 4.7786 Å, 90.00 90.00 90.00°
Closest atoms and distances in Å follow each position.
Fractional positions:
1 Sc 0.5000 0.0000 0.0000  2 Co 2.39
2 Sc 0.0000 0.5000 0.0000  2 Co 2.39
3 Sc 0.0000 0.0000 0.5000  2 Co 2.39
4 Al 0.5000 0.5000 0.5000  12 Sc 3.38
5 Co 0.0000 0.0000 0.0000  6 Sc 2.39



# Sc6Al3Co

A geometry-optimized Sc6Al3Co structure (GGA-PBE, Alexandria via LeMat-Bulk).

Size of the total moment   0.3 Bohr magnetons per cell
Formation energy   -342.0 meV/atom
Density   3.47 g cm⁻³

Cell: 4.7905 8.2841 10.4583 Å, 109.27 90.00 90.00°
Closest atoms and distances in Å follow each position.
Fractional positions:
1 Sc 0.7500 0.5408 0.9194  7 Al 2.83-3.13, 4 Sc 3.06-3.13
2 Sc 0.7500 0.8966 0.1457  1 Co 2.64, 1 Al 2.87
3 Sc 0.2500 0.4592 0.0806  7 Al 2.83-3.13, 4 Sc 3.06-3.13
4 Sc 0.7500 0.1518 0.6805  3 Co 2.66-2.86, 1 Al 2.97
5 Sc 0.2500 0.1034 0.8543  1 Co 2.64, 1 Al 2.87
6 Sc 0.7500 0.8656 0.8409  4 Al 3.00-3.24, 8 Sc 3.06-3.35
7 Sc 0.7500 0.7724 0.5042  3 Co 2.70-2.83, 1 Al 2.86
8 Sc 0.2500 0.6840 0.6638  1 Co 2.65, 4 Al 2.87-2.93
9 Sc 0.2500 0.1344 0.1591  4 Al 3.00-3.24, 8 Sc 3.06-3.35
10 Sc 0.2500 0.2276 0.4958  3 Co 2.70-2.83, 1 Al 2.86
11 Sc 0.2500 0.8482 0.3195  3 Co 2.66-2.86, 1 Al 2.97
12 Sc 0.7500 0.3160 0.3362  1 Co 2.65, 4 Al 2.87-2.93
13 Al 0.7500 0.4805 0.6249  8 Sc 2.87-3.18, 2 Al 3.07
14 Al 0.2500 0.4074 0.7807  8 Sc 2.83-3.14, 3 Al 3.02-3.07
15 Al 0.2500 0.7706 0.9739  9 Sc 2.97-3.13, 1 Al 3.02
16 Al 0.2500 0.5195 0.3751  8 Sc 2.87-3.18, 2 Al 3.07
17 Al 0.7500 0.2294 0.0261  9 Sc 2.97-3.13, 1 Al 3.02
18 Al 0.7500 0.5926 0.2193  8 Sc 2.83-3.14, 3 Al 3.02-3.07
19 Co 0.2500 0.9595 0.5889  8 Sc 2.64-2.86
20 Co 0.7500 0.0405 0.4111  8 Sc 2.64-2.86